<A>
# Ni3W2

A relaxed Ni3W2 crystal (GGA-PBE, the Alexandria database).

Properties
The density of states at the Fermi level comes out at 10.755 states/eV per cell.

The structure in POSCAR format:
```
Ni3W2
1.0
-3.942 -0.256 6.436
-5.955 -2.096 2.451
1.470 -3.033 3.458
W Ni
4 6
direct
0.371 0.519 0.242 W
0.008 0.382 0.879 W
0.868 0.242 0.519 W
0.731 0.879 0.382 W
0.803 0.926 0.811 Ni
0.248 0.252 0.252 Ni
0.439 0.791 0.447 Ni
0.459 0.811 0.926 Ni
0.998 0.002 0.002 Ni
0.324 0.447 0.791 Ni
```


<B>
# Ni3W2

A relaxed Ni3W2 crystal (GGA-PBE, the Alexandria database).

Properties
The density of states at the Fermi level comes out at 5.515 states/eV per cell.

The structure in POSCAR format:
```
Ni3W2
1.0
-4.969 8.947 3.419
-7.146 7.387 3.285
-5.629 7.385 5.497
Ni W
3 2
direct
0.198 0.198 0.198 Ni
0.802 0.802 0.802 Ni
0.000 0.000 0.000 Ni
0.598 0.598 0.598 W
0.402 0.402 0.402 W
```


Stability, highest: <A>